1.
Below is crystalline Ce2PaIrN5 at its relaxed geometry, with properties calculated at the PBE level.

abc: 5.771 6.461 6.461
angles: 90.00 90.00 90.00
Atoms (fractional coordinates):
1 N 0.500 0.500 0.500
2 N 0.775 0.835 0.335
3 N 0.225 0.835 0.335
4 N 0.775 0.665 0.835
5 N 0.775 0.165 0.665
6 N 0.225 0.665 0.835
7 N 0.775 0.335 0.165
8 N 0.225 0.335 0.165
9 N 0.500 0.000 0.000
10 N 0.225 0.165 0.665
11 Ce 0.500 0.164 0.336
12 Ce 0.500 0.336 0.836
13 Ce 0.500 0.836 0.664
14 Ce 0.500 0.664 0.164
15 Ir 0.000 0.500 0.000
16 Ir 0.000 0.000 0.500
17 Pa 0.000 0.000 0.000
18 Pa 0.000 0.500 0.500

Values from the calculation:
The space group is No. 127. The uncorrected formation energy comes out at -21.10 kcal/mol of atoms.

***

2.
Below is crystalline CePa2IrN5 at its relaxed geometry, with properties calculated at the PBE level.

abc: 6.539 6.539 7.498
angles: 115.85 115.85 90.00
Atoms (fractional coordinates):
1 N 0.979 0.479 0.252
2 N 0.021 0.521 0.748
3 N 0.773 0.979 0.252
4 N 0.479 0.273 0.252
5 N 0.273 0.773 0.252
6 N 0.727 0.227 0.748
7 N 0.500 0.500 0.000
8 N 0.000 0.000 0.000
9 N 0.227 0.021 0.748
10 N 0.521 0.727 0.748
11 Ir 0.750 0.250 0.500
12 Ir 0.250 0.750 0.500
13 Pa 0.823 0.677 0.000
14 Pa 0.677 0.177 0.000
15 Pa 0.323 0.823 0.000
16 Pa 0.177 0.323 0.000
17 Ce 0.250 0.250 0.500
18 Ce 0.750 0.750 0.500

Values from the calculation:
The space group is No. 140. The uncorrected formation energy comes out at -24.74 kcal/mol of atoms.

***

3.
Below is crystalline Ce6IrPb2N at its relaxed geometry, with properties calculated at the PBE level.

abc: 5.213 5.213 10.424
angles: 90.00 90.00 90.00
Atoms (fractional coordinates):
1 Ce 0.500 0.500 0.722
2 Ce 0.000 0.500 0.000
3 Ce 0.500 0.000 0.500
4 Ce 0.500 0.000 0.000
5 Ce 0.000 0.500 0.500
6 Ce 0.500 0.500 0.278
7 Ir 0.500 0.500 0.000
8 N 0.500 0.500 0.500
9 Pb 0.000 0.000 0.260
10 Pb 0.000 0.000 0.740

Values from the calculation:
The space group is No. 123. The uncorrected formation energy comes out at -13.08 kcal/mol of atoms.

***

4.
Below is crystalline Ce2PuIrN4 at its relaxed geometry, with properties calculated at the PBE level.

abc: 3.379 6.109 11.901
angles: 90.00 90.00 106.05
Atoms (fractional coordinates):
1 N 0.280 0.560 0.371
2 N 0.461 0.922 0.750
3 N 0.280 0.560 0.129
4 N 0.000 0.000 0.000
5 N 0.720 0.440 0.871
6 N 0.000 0.000 0.500
7 N 0.539 0.078 0.250
8 N 0.720 0.440 0.629
9 Ir 0.151 0.302 0.250
10 Ir 0.849 0.698 0.750
11 Ce 0.630 0.261 0.053
12 Ce 0.370 0.739 0.553
13 Ce 0.370 0.739 0.947
14 Ce 0.630 0.261 0.447
15 Pu 0.887 0.774 0.250
16 Pu 0.113 0.226 0.750

Values from the calculation:
The space group is No. 63. The uncorrected formation energy comes out at -21.12 kcal/mol of atoms.

***

Please write out number 3 again, unchanged.
Below is crystalline Ce6IrPb2N at its relaxed geometry, with properties calculated at the PBE level.

abc: 5.213 5.213 10.424
angles: 90.00 90.00 90.00
Atoms (fractional coordinates):
1 Ce 0.500 0.500 0.722
2 Ce 0.000 0.500 0.000
3 Ce 0.500 0.000 0.500
4 Ce 0.500 0.000 0.000
5 Ce 0.000 0.500 0.500
6 Ce 0.500 0.500 0.278
7 Ir 0.500 0.500 0.000
8 N 0.500 0.500 0.500
9 Pb 0.000 0.000 0.260
10 Pb 0.000 0.000 0.740

Values from the calculation:
The space group is No. 123. The uncorrected formation energy comes out at -13.08 kcal/mol of atoms.

***

Which formula does entry 3 have? Ce6IrPb2N